Record 1
A relaxed structure of K4Np3MoO12. Source: Alexandria, functional GGA+U.

Lattice parameters (Å, degrees): 7.346 7.346 7.346 109.47 109.47 109.47
Sites, in units of the cell vectors:
1 K 0.000 0.000 0.500
2 K 0.000 0.500 0.000
3 K 0.500 0.000 0.000
4 K 0.500 0.500 0.500
5 Np 0.000 0.500 0.500
6 Np 0.500 0.000 0.500
7 Np 0.500 0.500 0.000
8 Mo 0.000 0.000 0.000
9 O 0.000 0.258 0.258
10 O 0.000 0.742 0.742
11 O 0.250 0.500 0.750
12 O 0.250 0.750 0.500
13 O 0.258 0.000 0.258
14 O 0.258 0.258 0.000
15 O 0.500 0.250 0.750
16 O 0.500 0.750 0.250
17 O 0.742 0.000 0.742
18 O 0.742 0.742 0.000
19 O 0.750 0.250 0.500
20 O 0.750 0.500 0.250

Summary:
Fermi-level density of states, states/eV per cell: 6.353
Calculated volume, Å³/cell: 305
Raw total energy, eV/cell: -159.5
Magnetization, μB/cell: 7.0


Record 2
A relaxed structure of NpCoRuO6. Source: Alexandria, functional GGA+U.

Lattice parameters (Å, degrees): 5.076 5.076 8.955 90.00 90.00 120.00
Sites, in units of the cell vectors:
1 Np 0.333 0.667 0.250
2 Np 0.667 0.333 0.750
3 Co 0.333 0.667 0.750
4 Co 0.667 0.333 0.250
5 Ru 0.000 0.000 0.000
6 Ru 0.000 0.000 0.500
7 O 0.019 0.341 0.627
8 O 0.019 0.678 0.873
9 O 0.322 0.341 0.873
10 O 0.322 0.981 0.627
11 O 0.341 0.019 0.127
12 O 0.341 0.322 0.373
13 O 0.659 0.678 0.627
14 O 0.659 0.981 0.873
15 O 0.678 0.019 0.373
16 O 0.678 0.659 0.127
17 O 0.981 0.322 0.127
18 O 0.981 0.659 0.373

Summary:
Fermi-level density of states, states/eV per cell: 12.761
Calculated volume, Å³/cell: 200
Raw total energy, eV/cell: -143.6
Magnetization, μB/cell: 0.0


> Which formula does entry 2 have?

NpCoRuO6


> The highest calculated volume belongs to which entry?

K4Np3MoO12


> The highest magnetization belongs to which entry?

K4Np3MoO12


> Which formula does entry 1 have?

K4Np3MoO12